Run 1
Material: Pm3DyHg2
Method: DFT, PBE
State: optimized geometry

Unit cell a=7.2537 b=7.5947 c=9.0745 alpha=114.74 beta=113.56 gamma=90.00
With the nearest neighbours (Å) after each atom.
Atoms (fractional coordinates):
Pm: 0.5000 0.7500 0.0000  4 Hg 3.15
Pm: 0.2276 0.9776 0.4551  4 Hg 3.12-3.17
Pm: 0.7724 0.5224 0.5449  4 Hg 3.12-3.17
Pm: 0.7724 0.0224 0.5449  4 Hg 3.12-3.17
Pm: 0.5000 0.2500 0.0000  4 Hg 3.15
Pm: 0.2276 0.4776 0.4551  4 Hg 3.12-3.17
Hg: 0.5643 0.3622 0.7244  1 Dy 2.97, 6 Pm 3.12-3.17
Hg: 0.4357 0.6378 0.2756  1 Dy 2.97, 6 Pm 3.12-3.17
Hg: 0.8399 0.1378 0.2756  1 Dy 2.97, 6 Pm 3.12-3.17
Hg: 0.1601 0.8622 0.7244  1 Dy 2.97, 6 Pm 3.12-3.17
Dy: 0.0000 0.0000 0.0000  2 Hg 2.97
Dy: 0.0000 0.5000 0.0000  2 Hg 2.97

Results
V   407.71 Å³/cell
Crystal system   orthorhombic
Total magnetic moment   0.00 μB/cell

=====

Run 2
Material: Pm3DyHg2
Method: DFT, PBE
State: optimized geometry

Unit cell a=5.2514 b=7.0838 c=9.5057 alpha=90.00 beta=90.00 gamma=90.00
With the nearest neighbours (Å) after each atom.
Atoms (fractional coordinates):
Dy: 0.5000 0.5138 0.5534  3 Hg 3.20-3.27, 1 Pm 3.52
Dy: 0.5000 0.0138 0.4466  3 Hg 3.20-3.27, 1 Pm 3.52
Hg: 0.5000 0.7315 0.8479  6 Pm 3.15-3.28, 1 Dy 3.20
Hg: 0.0000 0.7696 0.3506  5 Pm 3.07-3.22, 2 Dy 3.27
Hg: 0.5000 0.2315 0.1521  6 Pm 3.15-3.28, 1 Dy 3.20
Hg: 0.0000 0.2696 0.6494  5 Pm 3.07-3.22, 2 Dy 3.27
Pm: 0.5000 0.1751 0.8239  4 Hg 3.15-3.18, 1 Dy 3.52
Pm: 0.0000 0.4869 0.9466  3 Hg 3.22-3.28, 1 Pm 3.54
Pm: 0.5000 0.6751 0.1761  4 Hg 3.15-3.18, 1 Dy 3.52
Pm: 0.0000 0.3231 0.3294  4 Hg 3.07-3.19
Pm: 0.0000 0.8231 0.6706  4 Hg 3.07-3.19
Pm: 0.0000 0.9869 0.0534  3 Hg 3.22-3.28, 1 Pm 3.54

Results
V   353.61 Å³/cell
Crystal system   orthorhombic
Total magnetic moment   0.00 μB/cell

=====

Most stable structure: run 2

=====

Run 1
Material: PmDy4Hg
Method: DFT, PBE
State: optimized geometry

Unit cell a=3.5922 b=3.5922 c=14.0333 alpha=90.00 beta=90.00 gamma=90.00
With the nearest neighbours (Å) after each atom.
Atoms (fractional coordinates):
Dy: 0.0000 0.0000 0.3579  4 Hg 3.23, 8 Dy 3.56-3.59
Dy: 0.0000 0.0000 0.6421  4 Hg 3.23, 8 Dy 3.56-3.59
Dy: 0.5000 0.5000 0.8197  8 Dy 3.56-3.59, 4 Pm 3.59
Dy: 0.5000 0.5000 0.1803  8 Dy 3.56-3.59, 4 Pm 3.59
Pm: 0.0000 0.0000 0.0000  8 Dy 3.59, 4 Pm 3.59
Hg: 0.5000 0.5000 0.5000  8 Dy 3.23, 4 Hg 3.59

Results
V   181.08 Å³/cell
Crystal system   tetragonal
Total magnetic moment   0.00 μB/cell

=====

Run 2
Material: PmDy4Hg
Method: DFT, PBE
State: optimized geometry

Unit cell a=6.3633 b=8.9950 c=8.2364 alpha=113.31 beta=100.01 gamma=112.90
With the nearest neighbours (Å) after each atom.
Atoms (fractional coordinates):
Pm: 0.6552 0.4052 0.8103  10 Dy 3.48-3.81
Pm: 0.3448 0.5948 0.1897  10 Dy 3.48-3.81
Dy: 0.2277 0.6012 0.7643  2 Hg 3.26-3.27, 4 Dy 3.30-3.64, 2 Pm 3.48-3.54
Dy: 0.7594 0.7131 0.6249  2 Hg 3.17, 3 Dy 3.30-3.37, 1 Pm 3.53
Dy: 0.6345 0.0882 0.3751  2 Hg 3.17, 3 Dy 3.30-3.37, 1 Pm 3.53
Dy: 0.7723 0.3988 0.2357  2 Hg 3.26-3.27, 4 Dy 3.30-3.64, 2 Pm 3.48-3.54
Dy: 0.3655 0.9118 0.6249  2 Hg 3.17, 3 Dy 3.30-3.37, 1 Pm 3.53
Dy: 0.2406 0.2869 0.3751  2 Hg 3.17, 3 Dy 3.30-3.37, 1 Pm 3.53
Dy: 0.0366 0.1632 0.7643  2 Hg 3.26-3.27, 4 Dy 3.30-3.64, 2 Pm 3.48-3.54
Dy: 0.9634 0.8368 0.2357  2 Hg 3.26-3.27, 4 Dy 3.30-3.64, 2 Pm 3.48-3.54
Hg: 0.7493 0.9993 0.9986  8 Dy 3.17-3.27, 2 Hg 3.18
Hg: 0.2507 0.0007 0.0014  8 Dy 3.17-3.27, 2 Hg 3.18

Results
V   367.67 Å³/cell
Crystal system   monoclinic
Total magnetic moment   0.00 μB/cell

=====

Most stable structure: run 1